The following is a DFT calculation (PBE-GGA) of a geometry-optimized La2PaGa12Co3 structure.

Results
total magnetization: 2.58 μB per cell
uncorrected energy: -77.733 eV/f.u.
calculated volume: 21.7 A^3/atom
energy of formation: -41 meV/atom

CIF file:
```
data_La2PaGa12Co3
_space_group_name_H-M_alt 'R -3 m'
_space_group_IT_number 166
_space_group_name_Hall '-R 3 2"'
_cell_length_a 8.5328
_cell_length_b 8.5328
_cell_length_c 18.6133
_cell_angle_alpha 90.00
_cell_angle_beta 90.00
_cell_angle_gamma 120.00
loop_
_atom_site_label
_atom_site_fract_x
_atom_site_fract_y
_atom_site_fract_z
La1 0.0000 0.0000 0.0824
Pa1 0.0000 0.0000 0.5000
Ga1 0.0828 0.5414 0.3187
Ga2 0.0849 0.5424 0.8789
Co1 0.0000 0.5000 0.0000
```